(1)
Material: Mg7CdIn2
Method: DFT, PBE
State: relaxed

abc: 4.881 4.881 11.919
angles: 90.00 90.00 120.00
Element x y z (fractional)
In: 0.667 0.333 0.310
In: 0.333 0.667 0.649
Mg: 0.333 0.667 0.146
Mg: 0.000 0.000 0.736
Mg: 0.000 0.000 0.246
Mg: 0.667 0.333 0.568
Mg: 0.333 0.667 0.408
Mg: 0.333 0.667 0.891
Mg: 0.667 0.333 0.040
Cd: 0.000 0.000 0.989

Values from the calculation:
Calculated volume = 245.9 Å³ per cell
Mass density = 3.46 Mg/m³
Space group = No. 156
Energy above the most stable polymorph in this dataset = 0.000 eV per atom

(2)
Material: KUTe4
Method: DFT, PBE
State: relaxed

abc: 7.955 7.898 8.727
angles: 116.90 93.56 90.00
Element x y z (fractional)
Te: 0.550 0.845 0.176
Te: 0.759 0.276 0.552
Te: 0.241 0.724 0.448
Te: 0.450 0.155 0.824
Te: 0.550 0.331 0.176
Te: 0.000 0.751 0.000
Te: 0.450 0.669 0.824
Te: 0.000 0.249 0.000
U: 0.273 0.541 0.081
U: 0.727 0.459 0.919
K: 0.825 0.811 0.622
K: 0.175 0.189 0.378

Values from the calculation:
Calculated volume = 487.8 Å³ per cell
Mass density = 5.36 Mg/m³
Space group = No. 12
Energy above the most stable polymorph in this dataset = 0.059 eV per atom